# 1
# Ac3Sm3Ge4

An optimized crystal structure of Ac3Sm3Ge4 (PBE-GGA, Alexandria via LeMat-Bulk).

a b c (Å): 4.528 8.126 8.126
angles (deg): 85.86 90.00 90.00
Fractional positions:
Ac: 0.000 0.000 0.000
Ac: 0.000 0.493 0.826
Ac: 0.000 0.826 0.493
Sm: 0.000 0.333 0.333
Sm: 0.500 0.161 0.659
Sm: 0.500 0.659 0.161
Ge: 0.500 0.055 0.292
Ge: 0.500 0.292 0.055
Ge: 0.500 0.513 0.513
Ge: 0.500 0.802 0.802

Results
- energy of formation from the pure elements (eV/f.u.) = -6.93
- ρ (g/cm³) = 7.92
- space-group type = No. 38

# 2
# Ac2Sm2Ge

An optimized crystal structure of Ac2Sm2Ge (PBE-GGA, Alexandria via LeMat-Bulk).

a b c (Å): 10.486 10.486 10.486
angles (deg): 156.39 156.39 33.63
Fractional positions:
Ac: 0.083 0.083 0.000
Ac: 0.917 0.917 0.000
Sm: 0.250 0.750 0.500
Sm: 0.750 0.250 0.500
Ge: 0.500 0.500 0.000

Results
- energy of formation from the pure elements (eV/f.u.) = 0.81
- ρ (g/cm³) = 7.44
- space-group type = No. 139

# 3
# AcSm2Ge2

An optimized crystal structure of AcSm2Ge2 (PBE-GGA, Alexandria via LeMat-Bulk).

a b c (Å): 6.656 6.656 5.918
angles (deg): 101.25 101.25 34.49
Fractional positions:
Ac: 0.000 0.000 0.000
Sm: 0.359 0.359 0.436
Sm: 0.641 0.641 0.564
Ge: 0.284 0.284 0.889
Ge: 0.716 0.716 0.111

Results
- energy of formation from the pure elements (eV/f.u.) = -2.81
- ρ (g/cm³) = 7.69
- space-group type = No. 12

# 4
# AcSmGe3

An optimized crystal structure of AcSmGe3 (PBE-GGA, Alexandria via LeMat-Bulk).

a b c (Å): 14.012 14.012 4.115
angles (deg): 90.00 90.00 161.50
Fractional positions:
Ac: 0.074 0.926 0.750
Ac: 0.926 0.074 0.250
Sm: 0.204 0.796 0.250
Sm: 0.796 0.204 0.750
Ge: 0.313 0.687 0.250
Ge: 0.373 0.627 0.750
Ge: 0.473 0.527 0.750
Ge: 0.527 0.473 0.250
Ge: 0.627 0.373 0.250
Ge: 0.687 0.313 0.750

Results
- energy of formation from the pure elements (eV/f.u.) = -3.53
- ρ (g/cm³) = 7.71
- space-group type = No. 63

# 5
# Ac3SmGe4

An optimized crystal structure of Ac3SmGe4 (PBE-GGA, Alexandria via LeMat-Bulk).

a b c (Å): 9.468 9.468 9.468
angles (deg): 152.22 139.31 49.99
Fractional positions:
Ac: 0.000 0.000 0.000
Ac: 0.305 0.805 0.500
Ac: 0.695 0.195 0.500
Sm: 0.500 0.500 0.000
Ge: 0.064 0.373 0.691
Ge: 0.318 0.627 0.691
Ge: 0.682 0.373 0.309
Ge: 0.936 0.627 0.309

Results
- energy of formation from the pure elements (eV/f.u.) = -5.01
- ρ (g/cm³) = 7.26
- space-group type = No. 71

# 6
# Ac3SmGe6

An optimized crystal structure of Ac3SmGe6 (PBE-GGA, Alexandria via LeMat-Bulk).

a b c (Å): 8.242 8.242 8.242
angles (deg): 98.31 98.31 98.31
Fractional positions:
Ac: 0.184 0.750 0.315
Ac: 0.250 0.684 0.816
Ac: 0.315 0.184 0.750
Ac: 0.684 0.815 0.250
Ac: 0.750 0.316 0.184
Ac: 0.815 0.250 0.684
Sm: 0.000 0.000 0.000
Sm: 0.500 0.500 0.500
Ge: 0.016 0.091 0.381
Ge: 0.091 0.381 0.016
Ge: 0.119 0.409 0.484
Ge: 0.381 0.016 0.091
Ge: 0.409 0.484 0.119
Ge: 0.484 0.119 0.409
Ge: 0.516 0.881 0.591
Ge: 0.591 0.516 0.881
Ge: 0.619 0.984 0.909
Ge: 0.881 0.591 0.516
Ge: 0.909 0.619 0.984
Ge: 0.984 0.909 0.619

Results
- energy of formation from the pure elements (eV/f.u.) = -6.23
- ρ (g/cm³) = 7.79
- space-group type = No. 167

Question: Which value of energy of formation from the pure elements does entry 1 give?
Answer: -6.93 eV/f.u.

Question: Which formula does entry 3 have?
Answer: AcSm2Ge2